Hf2Nb4Ge3N3 after structural relaxation. Source: OQMD, functional PBE-GGA.

Lattice parameters (Å, degrees): 9.7310 5.6542 13.1641 90.00 104.07 90.00
Space group C2/c (No. 15)
Unique sites:
Hf 0.0537 0.0857 0.4016 (multiplicity 8)
Nb 0.1124 0.4266 0.5867 (multiplicity 8)
Nb 0.2166 0.4115 0.9136 (multiplicity 8)
Ge 0.0000 0.4435 0.2500 (multiplicity 4)
Ge 0.1793 0.0983 0.7484 (multiplicity 8)
N 0.0759 0.2294 0.0000 (multiplicity 8)
N 0.2500 0.2500 0.5000 (multiplicity 4)

Computed properties:
Its total magnetization is 0.0 μB/f.u. The total energy is -9.094 eV per atom.

***

Hf4GePN2 after structural relaxation. Source: OQMD, functional PBE-GGA.

Lattice parameters (Å, degrees): 3.3036 3.3036 12.6461 90.00 90.00 120.00
Space group P-6m2 (No. 187)
Unique sites:
Hf 0.0000 0.0000 0.1407 (multiplicity 2)
Hf 0.6667 0.3333 0.3350 (multiplicity 2)
Ge 0.0000 0.0000 0.5000 (multiplicity 1)
P 0.6667 0.3333 0.0000 (multiplicity 1)
N 0.3333 0.6667 0.2401 (multiplicity 2)

Computed properties:
Its total magnetization is 0.0 μB/f.u. The total energy is -9.596 eV per atom.

***

Hf4GePbN2 after structural relaxation. Source: OQMD, functional PBE-GGA.

Lattice parameters (Å, degrees): 3.2627 3.2627 14.1585 90.00 90.00 120.00
Space group P-6m2 (No. 187)
Unique sites:
Hf 0.0000 0.0000 0.1498 (multiplicity 2)
Hf 0.6667 0.3333 0.3244 (multiplicity 2)
Ge 0.6667 0.3333 0.0000 (multiplicity 1)
Pb 0.0000 0.0000 0.5000 (multiplicity 1)
N 0.3333 0.6667 0.2365 (multiplicity 2)

Computed properties:
Its total magnetization is 0.0 μB/f.u. The total energy is -9.091 eV per atom.

***

Hf4GeSN2 after structural relaxation. Source: OQMD, functional PBE-GGA.

Lattice parameters (Å, degrees): 3.2903 3.2903 12.6339 90.00 90.00 120.00
Space group P-6m2 (No. 187)
Unique sites:
Hf 0.0000 0.0000 0.1432 (multiplicity 2)
Hf 0.3333 0.6667 0.3354 (multiplicity 2)
Ge 0.0000 0.0000 0.5000 (multiplicity 1)
S 0.3333 0.6667 0.0000 (multiplicity 1)
N 0.6667 0.3333 0.2405 (multiplicity 2)

Computed properties:
Its total magnetization is 0.0 μB/f.u. The total energy is -9.476 eV per atom.

***

Hf4GeSN2 after structural relaxation. Source: OQMD, functional PBE-GGA.

Lattice parameters (Å, degrees): 3.2903 3.2903 12.6340 90.00 90.00 120.00
Space group P-6m2 (No. 187)
Unique sites:
Hf 0.0000 0.0000 0.1432 (multiplicity 2)
Hf 0.6667 0.3333 0.3354 (multiplicity 2)
Ge 0.0000 0.0000 0.5000 (multiplicity 1)
S 0.6667 0.3333 0.0000 (multiplicity 1)
N 0.3333 0.6667 0.2405 (multiplicity 2)

Computed properties:
Its total magnetization is 0.0 μB/f.u. The total energy is -9.476 eV per atom.

***

Hf2Sc4Ge3N3 after structural relaxation. Source: OQMD, functional PBE-GGA.

Lattice parameters (Å, degrees): 9.7121 5.6113 13.8894 90.00 103.48 90.00
Space group C2/c (No. 15)
Unique sites:
Hf 0.0560 0.0858 0.4116 (multiplicity 8)
Sc 0.1139 0.4208 0.5914 (multiplicity 8)
Sc 0.2183 0.4145 0.9086 (multiplicity 8)
Ge 0.0000 0.4135 0.2500 (multiplicity 4)
Ge 0.1591 0.0825 0.7493 (multiplicity 8)
N 0.0818 0.2457 0.9999 (multiplicity 8)
N 0.2500 0.2500 0.5000 (multiplicity 4)

Computed properties:
Its total magnetization is 0.0 μB/f.u. The total energy is -8.280 eV per atom.

***

Hf4Sc2Ge3N3 after structural relaxation. Source: OQMD, functional PBE-GGA.

Lattice parameters (Å, degrees): 9.6733 5.5870 13.9477 90.00 103.41 90.00
Space group C2/c (No. 15)
Unique sites:
Hf 0.1138 0.0863 0.0911 (multiplicity 8)
Hf 0.2211 0.0822 0.4089 (multiplicity 8)
Sc 0.0507 0.4178 0.9067 (multiplicity 8)
Ge 0.0000 0.0747 0.7500 (multiplicity 4)
Ge 0.1691 0.4142 0.2505 (multiplicity 8)
N 0.0840 0.2479 0.5000 (multiplicity 8)
N 0.2500 0.2500 0.0000 (multiplicity 4)

Computed properties:
Its total magnetization is 0.0 μB/f.u. The total energy is -8.822 eV per atom.

***

Hf4TlGeN2 after structural relaxation. Source: OQMD, functional PBE-GGA.

Lattice parameters (Å, degrees): 3.2539 3.2539 14.1152 90.00 90.00 120.00
Space group P-6m2 (No. 187)
Unique sites:
Hf 0.0000 0.0000 0.1498 (multiplicity 2)
Hf 0.6667 0.3333 0.3250 (multiplicity 2)
Tl 0.0000 0.0000 0.5000 (multiplicity 1)
Ge 0.6667 0.3333 0.0000 (multiplicity 1)
N 0.3333 0.6667 0.2386 (multiplicity 2)

Computed properties:
Its total magnetization is 0.0 μB/f.u. The total energy is -8.950 eV per atom.

***

Hf2Ge3W4N3 after structural relaxation. Source: OQMD, functional PBE-GGA.

Lattice parameters (Å, degrees): 9.4845 5.5972 13.0022 90.00 104.05 90.00
Space group C2/c (No. 15)
Unique sites:
Hf 0.0545 0.0868 0.3960 (multiplicity 8)
Ge 0.0000 0.4583 0.2500 (multiplicity 4)
Ge 0.1875 0.1135 0.7481 (multiplicity 8)
W 0.1133 0.4387 0.5850 (multiplicity 8)
W 0.2109 0.4060 0.9147 (multiplicity 8)
N 0.0756 0.2282 0.0004 (multiplicity 8)
N 0.2500 0.2500 0.5000 (multiplicity 4)

Computed properties:
Its total magnetization is 0.0 μB/f.u. The total energy is -9.492 eV per atom.

***

Y4Hf2Ge3N3 after structural relaxation. Source: OQMD, functional PBE-GGA.

Lattice parameters (Å, degrees): 10.2705 5.9401 14.3801 90.00 104.15 90.00
Space group C2/c (No. 15)
Unique sites:
Y 0.1175 0.0764 0.0994 (multiplicity 8)
Y 0.2126 0.0875 0.4006 (multiplicity 8)
Hf 0.0604 0.4129 0.9206 (multiplicity 8)
Ge 0.0000 0.1485 0.7500 (multiplicity 4)
Ge 0.1326 0.4503 0.2481 (multiplicity 8)
N 0.0778 0.2660 0.5000 (multiplicity 8)
N 0.2500 0.2500 0.0000 (multiplicity 4)

Computed properties:
Its total magnetization is 0.0 μB/f.u. The total energy is -8.242 eV per atom.